Entry from Alexandria: a relaxed ScFeNF2 crystal (PBE with a Hubbard U).

SG: P4/mmm (123)
Total moment (Bohr magnetons per cell): 3.967
Mass density (g/cm³): 4.1
Relative energy among the computed polymorphs (meV/atom): 309

a = 3.843 Å, b = 3.843 Å, c = 4.202 Å
α = 90.00°, β = 90.00°, γ = 90.00°
Last column: magnetic moment on the atom in μB.
Fractional coordinates of all 5 atoms:
Sc  0.500  0.500  0.500  0.21
N  0.000  0.000  0.500  -0.08
Fe  0.000  0.000  0.000  3.67
F  0.000  0.500  0.000  0.05
F  0.500  0.000  0.000  0.05